Record 1
{"formula": "La3TiPt", "functional": "GGA-PBE", "state": "relaxed", "lattice": [[5.6459, 0.0000, 0.0000], [0.0000, 5.6459, 0.0000], [0.0000, 0.0000, 5.6459]], "species": ["La", "La", "La", "Ti", "Pt"], "fractional_positions": [[0.0000, 0.0000, 0.5000], [0.0000, 0.5000, 0.0000], [0.5000, 0.0000, 0.0000], [0.5000, 0.5000, 0.5000], [0.0000, 0.0000, 0.0000]], "delta_e_f_ev_per_atom": 0.118, "de_polymorph_ev_per_atom": 0.000, "total_energy_ev_per_atom": -5.626, "rho_g_cm3": 6.09}

***

Record 2
{"formula": "SmEuCuRh", "functional": "GGA-PBE", "state": "relaxed", "lattice": [[0.0000, 3.5364, 3.5364], [3.5364, 0.0000, 3.5364], [3.5364, 3.5364, 0.0000]], "species": ["Sm", "Eu", "Cu", "Rh"], "fractional_positions": [[0.0000, 0.0000, 0.0000], [0.5000, 0.5000, 0.5000], [0.7500, 0.7500, 0.7500], [0.2500, 0.2500, 0.2500]], "delta_e_f_ev_per_atom": -0.361, "total_energy_ev_per_atom": -6.971, "rho_g_cm3": 8.80}

***

Record 3
{"formula": "YHoTl2Se4", "functional": "GGA-PBE", "state": "relaxed", "lattice": [[7.2392, 0.0000, 0.0000], [0.0000, 4.1795, 0.0000], [-2.4116, 0.0000, 7.7727]], "species": ["Y", "Ho", "Tl", "Tl", "Se", "Se", "Se", "Se"], "fractional_positions": [[0.0000, 0.0000, 0.0000], [0.5000, 0.5000, 0.0000], [0.0000, 0.5000, 0.5000], [0.5000, 0.0000, 0.5000], [0.2361, 0.5000, 0.2043], [0.2669, 0.0000, 0.7964], [0.7331, 0.0000, 0.2036], [0.7639, 0.5000, 0.7957]], "total_energy_ev_per_atom": -5.104, "raw_formation_energy_ev_per_atom": -1.3902, "rho_g_cm3": 6.91}

***

Record 4
{"formula": "Rb2BaGeF8", "functional": "GGA-PBE", "state": "relaxed", "lattice": [[4.6047, 0.0000, 0.0000], [0.0000, 7.9279, 0.0000], [-0.6682, 0.0000, 6.2662]], "species": ["Rb", "Rb", "Ba", "Ge", "F", "F", "F", "F", "F", "F", "F", "F"], "fractional_positions": [[0.0000, 0.2306, 0.0000], [0.0000, 0.7694, 0.0000], [0.5000, 0.5000, 0.5000], [0.5000, 0.0000, 0.5000], [0.0112, 0.5000, 0.7339], [0.1561, 0.0000, 0.3353], [0.3903, 0.1723, 0.6767], [0.3903, 0.8277, 0.6767], [0.6097, 0.1723, 0.3233], [0.6097, 0.8277, 0.3233], [0.8439, 0.0000, 0.6647], [0.9888, 0.5000, 0.2661]], "total_energy_ev_per_atom": -4.891, "raw_formation_energy_ev_per_atom": -2.9374, "rho_g_cm3": 3.87}

***

Record 5
{"formula": "CdIn2AgBr5", "functional": "GGA-PBE", "state": "relaxed", "lattice": [[2.1171, -9.5371, 0.0000], [2.1171, 9.5371, 0.0000], [0.0000, 0.0000, 14.4975]], "species": ["Cd", "Cd", "In", "In", "In", "In", "Ag", "Ag", "Br", "Br", "Br", "Br", "Br", "Br", "Br", "Br", "Br", "Br"], "fractional_positions": [[0.2157, 0.7843, 0.5000], [0.7843, 0.2157, 0.0000], [0.0932, 0.9068, 0.1337], [0.1337, 0.8663, 0.7844], [0.8663, 0.1337, 0.2844], [0.9068, 0.0932, 0.6337], [0.4502, 0.5498, 0.9106], [0.5498, 0.4502, 0.4106], [0.0659, 0.9341, 0.5258], [0.2733, 0.7267, 0.1317], [0.3010, 0.6990, 0.8706], [0.3611, 0.6389, 0.4710], [0.4918, 0.5082, 0.2477], [0.5082, 0.4918, 0.7477], [0.6389, 0.3611, 0.9710], [0.6990, 0.3010, 0.3706], [0.7267, 0.2733, 0.6317], [0.9341, 0.0659, 0.0258]], "total_energy_ev_per_atom": -2.600, "raw_formation_energy_ev_per_atom": -0.6439, "rho_g_cm3": 4.82}

***

Record 6
{"formula": "NdInNi5", "functional": "GGA-PBE", "state": "relaxed", "lattice": [[8.1810, 0.0000, 0.0000], [0.0000, 4.9071, 0.0000], [0.0000, 0.0000, 10.3886]], "species": ["Nd", "Nd", "Nd", "Nd", "In", "In", "In", "In", "Ni", "Ni", "Ni", "Ni", "Ni", "Ni", "Ni", "Ni", "Ni", "Ni", "Ni", "Ni", "Ni", "Ni", "Ni", "Ni", "Ni", "Ni", "Ni", "Ni"], "fractional_positions": [[0.2491, 0.2500, 0.0598], [0.2509, 0.7500, 0.5598], [0.7491, 0.2500, 0.4402], [0.7509, 0.7500, 0.9402], [0.1388, 0.7500, 0.8624], [0.3612, 0.2500, 0.3624], [0.6388, 0.7500, 0.6376], [0.8612, 0.2500, 0.1376], [0.0484, 0.7500, 0.1087], [0.0669, 0.0000, 0.3113], [0.0669, 0.5000, 0.3113], [0.0827, 0.2500, 0.5166], [0.1874, 0.2500, 0.7421], [0.3126, 0.7500, 0.2421], [0.4173, 0.7500, 0.0166], [0.4331, 0.0000, 0.8113], [0.4331, 0.5000, 0.8113], [0.4516, 0.2500, 0.6087], [0.5484, 0.7500, 0.3913], [0.5669, 0.0000, 0.1887], [0.5669, 0.5000, 0.1887], [0.5827, 0.2500, 0.9834], [0.6874, 0.2500, 0.7579], [0.8126, 0.7500, 0.2579], [0.9173, 0.7500, 0.4834], [0.9331, 0.0000, 0.6887], [0.9331, 0.5000, 0.6887], [0.9516, 0.2500, 0.8913]], "delta_e_f_ev_per_atom": -0.288, "total_energy_ev_per_atom": -5.489, "rho_g_cm3": 8.80}

***

Record 7
{"formula": "Tm2ScGa3", "functional": "GGA-PBE", "state": "relaxed", "lattice": [[-1.6941, 2.8886, 7.1313], [1.6941, -2.8886, 7.1313], [1.6941, 2.8886, -7.1313]], "species": ["Tm", "Tm", "Sc", "Ga", "Ga", "Ga"], "fractional_positions": [[0.1702, 0.1702, 0.0000], [0.8298, 0.8298, 0.0000], [0.5000, 0.5000, 0.0000], [0.0000, 0.5000, 0.5000], [0.3409, 0.8409, 0.5000], [0.6591, 0.1591, 0.5000]], "delta_e_f_ev_per_atom": -0.333, "de_polymorph_ev_per_atom": 0.234, "total_energy_ev_per_atom": -4.392, "rho_g_cm3": 7.04}

***

Record 8
{"formula": "Y3TeP2", "functional": "GGA-PBE", "state": "relaxed", "lattice": [[-3.6381, 5.7396, 4.1214], [3.6381, -5.7396, 4.1214], [3.6381, 5.7396, -4.1214]], "species": ["Y", "Y", "Y", "Y", "Y", "Y", "Te", "Te", "P", "P", "P", "P"], "fractional_positions": [[0.0000, 0.2326, 0.2326], [0.0000, 0.7674, 0.7674], [0.5000, 0.0000, 0.0000], [0.5000, 0.2326, 0.7326], [0.5000, 0.5000, 0.5000], [0.5000, 0.7674, 0.2674], [0.1661, 0.9161, 0.2500], [0.8339, 0.0839, 0.7500], [0.2793, 0.7159, 0.5634], [0.3474, 0.2841, 0.0634], [0.6526, 0.7159, 0.9366], [0.7207, 0.2841, 0.4366]], "total_energy_ev_per_atom": -6.703, "raw_formation_energy_ev_per_atom": -1.1442, "rho_g_cm3": 4.40}

***

Record 9
{"formula": "RbCoRu", "functional": "GGA-PBE", "state": "relaxed", "lattice": [[4.2666, 0.0000, 0.0000], [-0.6437, 4.4736, 0.0000], [-0.3653, -0.2144, 9.9223]], "species": ["Rb", "Rb", "Co", "Co", "Ru", "Ru"], "fractional_positions": [[0.0000, 0.0000, 0.0000], [0.4624, 0.4857, 0.5840], [0.0238, 0.4206, 0.2798], [0.5292, 0.5952, 0.2170], [0.4816, 0.0880, 0.2939], [0.9622, 0.8930, 0.3632]], "delta_e_f_ev_per_atom": 0.667, "de_polymorph_ev_per_atom": 0.035, "total_energy_ev_per_atom": -5.116, "rho_g_cm3": 4.30}

***

Record 10
{"formula": "Pr3Bi12Ir5", "functional": "GGA-PBE", "state": "relaxed", "lattice": [[-8.5905, 8.5905, 8.5905], [8.5905, -8.5905, 8.5905], [8.5905, 8.5905, -8.5905]], "species": ["Pr", "Pr", "Pr", "Pr", "Pr", "Pr", "Pr", "Pr", "Pr", "Pr", "Pr", "Pr", "Bi", "Bi", "Bi", "Bi", "Bi", "Bi", "Bi", "Bi", "Bi", "Bi", "Bi", "Bi", "Bi", "Bi", "Bi", "Bi", "Bi", "Bi", "Bi", "Bi", "Bi", "Bi", "Bi", "Bi", "Bi", "Bi", "Bi", "Bi", "Bi", "Bi", "Bi", "Bi", "Bi", "Bi", "Bi", "Bi", "Bi", "Bi", "Bi", "Bi", "Bi", "Bi", "Bi", "Bi", "Bi", "Bi", "Bi", "Bi", "Ir", "Ir", "Ir", "Ir", "Ir", "Ir", "Ir", "Ir", "Ir", "Ir", "Ir", "Ir", "Ir", "Ir", "Ir", "Ir", "Ir", "Ir", "Ir", "Ir"], "fractional_positions": [[0.1250, 0.2500, 0.3750], [0.1250, 0.3750, 0.7500], [0.2500, 0.3750, 0.1250], [0.2500, 0.8750, 0.6250], [0.3750, 0.1250, 0.2500], [0.3750, 0.7500, 0.1250], [0.6250, 0.2500, 0.8750], [0.6250, 0.8750, 0.7500], [0.7500, 0.1250, 0.3750], [0.7500, 0.6250, 0.8750], [0.8750, 0.6250, 0.2500], [0.8750, 0.7500, 0.6250], [0.0263, 0.2073, 0.1027], [0.0263, 0.3190, 0.9236], [0.0764, 0.6027, 0.3954], [0.0764, 0.9737, 0.6810], [0.1027, 0.0263, 0.2073], [0.1027, 0.5764, 0.8954], [0.1046, 0.7073, 0.6810], [0.1046, 0.8973, 0.4236], [0.1810, 0.2073, 0.6046], [0.1810, 0.4737, 0.5764], [0.2073, 0.1027, 0.0263], [0.2073, 0.6046, 0.1810], [0.2927, 0.3190, 0.8954], [0.2927, 0.4737, 0.3973], [0.3190, 0.8954, 0.2927], [0.3190, 0.9236, 0.0263], [0.3954, 0.0764, 0.6027], [0.3954, 0.8190, 0.7927], [0.3973, 0.2927, 0.4737], [0.3973, 0.6046, 0.9236], [0.4236, 0.1046, 0.8973], [0.4236, 0.8190, 0.5263], [0.4737, 0.3973, 0.2927], [0.4737, 0.5764, 0.1810], [0.5263, 0.4236, 0.8190], [0.5263, 0.6027, 0.7073], [0.5764, 0.1810, 0.4737], [0.5764, 0.8954, 0.1027], [0.6027, 0.3954, 0.0764], [0.6027, 0.7073, 0.5263], [0.6046, 0.1810, 0.2073], [0.6046, 0.9236, 0.3973], [0.6810, 0.0764, 0.9737], [0.6810, 0.1046, 0.7073], [0.7073, 0.5263, 0.6027], [0.7073, 0.6810, 0.1046], [0.7927, 0.3954, 0.8190], [0.7927, 0.8973, 0.9737], [0.8190, 0.5263, 0.4236], [0.8190, 0.7927, 0.3954], [0.8954, 0.1027, 0.5764], [0.8954, 0.2927, 0.3190], [0.8973, 0.4236, 0.1046], [0.8973, 0.9737, 0.7927], [0.9236, 0.0263, 0.3190], [0.9236, 0.3973, 0.6046], [0.9737, 0.6810, 0.0764], [0.9737, 0.7927, 0.8973], [0.0000, 0.0000, 0.0000], [0.0000, 0.0000, 0.5000], [0.0000, 0.5000, 0.0000], [0.0000, 0.5000, 0.5000], [0.1250, 0.7500, 0.8750], [0.1250, 0.8750, 0.2500], [0.2500, 0.1250, 0.8750], [0.2500, 0.6250, 0.3750], [0.3750, 0.2500, 0.6250], [0.3750, 0.6250, 0.7500], [0.5000, 0.0000, 0.0000], [0.5000, 0.0000, 0.5000], [0.5000, 0.5000, 0.0000], [0.5000, 0.5000, 0.5000], [0.6250, 0.3750, 0.2500], [0.6250, 0.7500, 0.3750], [0.7500, 0.3750, 0.6250], [0.7500, 0.8750, 0.1250], [0.8750, 0.1250, 0.7500], [0.8750, 0.2500, 0.1250]], "delta_e_f_ev_per_atom": 0.091, "total_energy_ev_per_atom": -5.170, "rho_g_cm3": 10.19}

***

Record 11
{"formula": "Rb2BePbO4", "functional": "GGA-PBE", "state": "relaxed", "lattice": [[0.0000, 6.0565, 11.0279], [2.5990, 0.0000, 11.0279], [2.5990, 6.0565, 0.0000]], "species": ["Rb", "Rb", "Rb", "Rb", "Be", "Be", "Pb", "Pb", "O", "O", "O", "O", "O", "O", "O", "O"], "fractional_positions": [[0.0545, 0.0545, 0.6955], [0.3045, 0.3045, 0.9455], [0.6955, 0.6955, 0.0545], [0.9455, 0.9455, 0.3045], [0.3750, 0.3750, 0.3750], [0.6250, 0.6250, 0.6250], [0.1250, 0.1250, 0.1250], [0.8750, 0.8750, 0.8750], [0.0524, 0.6157, 0.5288], [0.3030, 0.5288, 0.6157], [0.3843, 0.9476, 0.6970], [0.4712, 0.6970, 0.9476], [0.5288, 0.3030, 0.0524], [0.6157, 0.0524, 0.3030], [0.6970, 0.4712, 0.3843], [0.9476, 0.3843, 0.4712]], "total_energy_ev_per_atom": -5.001, "raw_formation_energy_ev_per_atom": -1.3506, "rho_g_cm3": 4.32}

***

Record 12
{"formula": "TiCr2W", "functional": "GGA-PBE", "state": "relaxed", "lattice": [[-3.3681, 3.3681, 2.6180], [3.3681, -3.3681, 2.6180], [3.3681, 3.3681, -2.6180]], "species": ["Ti", "Ti", "Cr", "Cr", "Cr", "Cr", "W", "W"], "fractional_positions": [[0.0000, 0.0000, 0.0000], [0.7500, 0.2500, 0.5000], [0.1316, 0.6250, 0.0066], [0.3750, 0.3816, 0.5066], [0.6184, 0.1250, 0.9934], [0.8750, 0.8684, 0.4934], [0.2500, 0.7500, 0.5000], [0.5000, 0.5000, 0.0000]], "delta_e_f_ev_per_atom": 0.704, "total_energy_ev_per_atom": -9.320, "rho_g_cm3": 9.38}

***

Record 13
{"formula": "GdDy2H", "functional": "GGA-PBE", "state": "relaxed", "lattice": [[3.3416, 0.0000, 0.0000], [0.0000, 3.3416, 0.0000], [0.0000, 0.0000, 8.5087]], "species": ["Gd", "Dy", "Dy", "H"], "fractional_positions": [[0.0000, 0.0000, 0.0000], [0.5000, 0.5000, 0.3099], [0.5000, 0.5000, 0.6901], [0.0000, 0.0000, 0.5000]], "de_polymorph_ev_per_atom": 0.307, "total_energy_ev_per_atom": -6.537, "rho_g_cm3": 8.45}

***

Record 14
{"formula": "In2Si2Ir", "functional": "GGA-PBE", "state": "relaxed", "lattice": [[6.2734, 0.0000, 0.0000], [0.0000, 6.2734, 0.0000], [0.0000, 0.0000, 4.8256]], "species": ["In", "In", "In", "In", "Si", "Si", "Si", "Si", "Ir", "Ir"], "fractional_positions": [[0.1800, 0.3200, 0.0000], [0.3200, 0.8200, 0.0000], [0.6800, 0.1800, 0.0000], [0.8200, 0.6800, 0.0000], [0.1380, 0.6380, 0.5000], [0.3620, 0.1380, 0.5000], [0.6380, 0.8620, 0.5000], [0.8620, 0.3620, 0.5000], [0.0000, 0.0000, 0.5000], [0.5000, 0.5000, 0.5000]], "total_energy_ev_per_atom": -5.042, "raw_formation_energy_ev_per_atom": -0.0054, "rho_g_cm3": 8.36}

***

Record 15
{"formula": "TlNiTePb2", "functional": "GGA-PBE", "state": "relaxed", "lattice": [[5.2323, 0.0000, 0.0000], [0.0000, 5.2323, 0.0000], [0.0000, 0.0000, 5.1573]], "species": ["Tl", "Ni", "Te", "Pb", "Pb"], "fractional_positions": [[0.0000, 0.0000, 0.0000], [0.0000, 0.0000, 0.5000], [0.5000, 0.5000, 0.0000], [0.0000, 0.5000, 0.5000], [0.5000, 0.0000, 0.5000]], "total_energy_ev_per_atom": -3.797, "raw_formation_energy_ev_per_atom": -0.0559, "rho_g_cm3": 9.47}

***

Record 16
{"formula": "UTc2Sb", "functional": "GGA-PBE", "state": "relaxed", "lattice": [[4.5186, 0.0000, 0.0000], [0.0000, 4.5186, 0.0000], [0.0000, 0.0000, 3.5674]], "species": ["U", "Tc", "Tc", "Sb"], "fractional_positions": [[0.0000, 0.0000, 0.0000], [0.0000, 0.5000, 0.5000], [0.5000, 0.0000, 0.5000], [0.5000, 0.5000, 0.0000]], "total_energy_ev_per_atom": -9.147, "raw_formation_energy_ev_per_atom": -0.1111, "rho_g_cm3": 12.67}

***

Record 17
{"formula": "Hf2RuSe2", "functional": "GGA-PBE", "state": "relaxed", "lattice": [[-2.5770, 2.5770, 3.8304], [2.5770, -2.5770, 3.8304], [2.5770, 2.5770, -3.8304]], "species": ["Hf", "Hf", "Ru", "Se", "Se"], "fractional_positions": [[0.2500, 0.7500, 0.5000], [0.7500, 0.2500, 0.5000], [0.0000, 0.0000, 0.0000], [0.3175, 0.3175, 0.0000], [0.6825, 0.6825, 0.0000]], "de_polymorph_ev_per_atom": 0.126, "total_energy_ev_per_atom": -7.593, "raw_formation_energy_ev_per_atom": -0.3625, "rho_g_cm3": 10.05}

***

Record 18
{"formula": "Pm2InSe5", "functional": "GGA-PBE", "state": "relaxed", "lattice": [[2.8957, -7.2260, 0.0000], [2.8957, 7.2260, 0.0000], [0.0000, 0.0000, 12.9256]], "species": ["Pm", "Pm", "Pm", "Pm", "In", "In", "Se", "Se", "Se", "Se", "Se", "Se", "Se", "Se", "Se", "Se"], "fractional_positions": [[0.1657, 0.8343, 0.5715], [0.1657, 0.8343, 0.9285], [0.8343, 0.1657, 0.0715], [0.8343, 0.1657, 0.4285], [0.1771, 0.8229, 0.2500], [0.8229, 0.1771, 0.7500], [0.0328, 0.9672, 0.1028], [0.0328, 0.9672, 0.3972], [0.2904, 0.7096, 0.7500], [0.3052, 0.6948, 0.0910], [0.3052, 0.6948, 0.4090], [0.6948, 0.3052, 0.5910], [0.6948, 0.3052, 0.9090], [0.7096, 0.2904, 0.2500], [0.9672, 0.0328, 0.6028], [0.9672, 0.0328, 0.8972]], "total_energy_ev_per_atom": -4.877, "raw_formation_energy_ev_per_atom": -1.1687, "rho_g_cm3": 4.91}

***

Record 19
{"formula": "TaCuTe5", "functional": "GGA-PBE", "state": "relaxed", "lattice": [[6.4563, -4.5060, 0.0000], [6.4563, 4.5060, 0.0000], [-4.8981, 0.0000, 7.7396]], "species": ["Ta", "Ta", "Cu", "Cu", "Te", "Te", "Te", "Te", "Te", "Te", "Te", "Te", "Te", "Te"], "fractional_positions": [[0.0699, 0.9301, 0.7500], [0.9301, 0.0699, 0.2500], [0.5000, 0.5000, 0.0000], [0.5000, 0.5000, 0.5000], [0.1284, 0.7716, 0.4164], [0.2101, 0.2598, 0.8781], [0.2284, 0.8716, 0.0836], [0.2598, 0.2101, 0.3781], [0.3779, 0.6221, 0.7500], [0.6221, 0.3779, 0.2500], [0.7402, 0.7899, 0.6219], [0.7716, 0.1284, 0.9164], [0.7899, 0.7402, 0.1219], [0.8716, 0.2284, 0.5836]], "total_energy_ev_per_atom": -4.552, "raw_formation_energy_ev_per_atom": -0.0293, "rho_g_cm3": 6.51}